<P>
First-principles (GGA-PBE) data for a relaxed DyHfTh2 crystal, as listed in Alexandria.

```
4
Lattice="1.6827 0.9715 12.1826 -1.6827 0.9715 12.1826 0.0000 -1.9430 12.1826" Properties=species:S:1:pos:R:3 pbc="T T T"
Dy 0.0000 0.0000 0.0000
Hf 0.0000 0.0000 18.2739
Th 0.0000 0.0000 15.2309
Th 0.0000 0.0000 21.3169
```

DOS at the Fermi energy	6.7	states/eV/cell
ρ	11.19	Mg/m³
SG	R-3m (166)

---

<Q>
First-principles (GGA-PBE) data for a relaxed DyHfTh2 crystal, as listed in Alexandria.

```
4
Lattice="0.0000 3.8703 3.8703 3.8703 0.0000 3.8703 3.8703 3.8703 0.0000" Properties=species:S:1:pos:R:3 pbc="T T T"
Dy 0.0000 0.0000 0.0000
Hf 3.8703 3.8703 3.8703
Th 1.9352 1.9352 1.9352
Th 5.8055 5.8055 5.8055
```

DOS at the Fermi energy	5.7	states/eV/cell
ρ	11.53	Mg/m³
SG	Fm-3m (225)

---

<Q> is the most stable structure; the next one sits 204 meV per atom above it.

---

<P>
First-principles (GGA-PBE) data for a relaxed DyHfTh2 crystal, as listed in Alexandria.

```
4
Lattice="1.7338 1.0010 11.2450 -1.7338 1.0010 11.2450 0.0000 -2.0020 11.2450" Properties=species:S:1:pos:R:3 pbc="T T T"
Dy 0.0000 0.0000 0.0000
Hf 0.0000 0.0000 28.0037
Th 0.0000 0.0000 8.2521
Th 0.0000 0.0000 14.1112
```

DOS at the Fermi energy	6.4	states/eV/cell
ρ	11.42	Mg/m³
SG	R3m (160)

---

<Q>
First-principles (GGA-PBE) data for a relaxed DyHfTh2 crystal, as listed in Alexandria.

```
4
Lattice="3.4723 0.0000 0.0000 0.0000 3.4723 0.0000 0.0000 0.0000 9.7954" Properties=species:S:1:pos:R:3 pbc="T T T"
Dy 0.0000 0.0000 0.0000
Hf 0.0000 0.0000 4.8977
Th 1.7362 1.7362 2.6032
Th 1.7362 1.7362 7.1923
```

DOS at the Fermi energy	5.9	states/eV/cell
ρ	11.32	Mg/m³
SG	P4/mmm (123)

---

<Q> is the most stable structure; the next one sits 32 meV per atom above it.

---

<P>
First-principles (GGA-PBE) data for a relaxed DyHf2Ti crystal, as listed in Alexandria.

```
4
Lattice="3.5851 0.0000 0.0000 0.0000 3.5851 0.0000 0.0000 0.0000 7.1935" Properties=species:S:1:pos:R:3 pbc="T T T"
Dy 0.0000 0.0000 0.0000
Hf 1.7925 1.7925 2.1439
Hf 1.7925 1.7925 5.0496
Ti 0.0000 0.0000 3.5968
```

DOS at the Fermi energy	5.3	states/eV/cell
ρ	10.19	Mg/m³
SG	P4/mmm (123)

---

<Q>
First-principles (GGA-PBE) data for a relaxed DyHf2Ti crystal, as listed in Alexandria.

```
4
Lattice="1.5886 0.9172 10.4371 -1.5886 0.9172 10.4371 0.0000 -1.8344 10.4371" Properties=species:S:1:pos:R:3 pbc="T T T"
Dy 0.0000 0.0000 0.0000
Hf 0.0000 0.0000 7.5928
Hf 0.0000 0.0000 23.7184
Ti 0.0000 0.0000 15.6556
```

DOS at the Fermi energy	6.2	states/eV/cell
ρ	10.33	Mg/m³
SG	R-3m (166)

---

<P> is the most stable structure; the next one sits 20 meV per atom above it.

---

<P>
First-principles (GGA-PBE) data for a relaxed Dy2HfTl crystal, as listed in Alexandria.

```
4
Lattice="3.4150 0.0000 0.0000 0.0000 3.4150 0.0000 0.0000 0.0000 9.2301" Properties=species:S:1:pos:R:3 pbc="T T T"
Dy 0.0000 0.0000 2.2921
Dy 0.0000 0.0000 6.9380
Hf 1.7075 1.7075 0.0000
Tl 1.7075 1.7075 4.6150
```

DOS at the Fermi energy	3.9	states/eV/cell
ρ	10.92	Mg/m³
SG	P4/mmm (123)

---

<Q>
First-principles (GGA-PBE) data for a relaxed Dy2HfTl crystal, as listed in Alexandria.

```
4
Lattice="4.6994 0.0000 0.0000 0.0000 4.6994 0.0000 0.0000 0.0000 4.6799" Properties=species:S:1:pos:R:3 pbc="T T T"
Dy 0.0000 2.3497 0.0000
Dy 2.3497 0.0000 0.0000
Hf 0.0000 0.0000 2.3399
Tl 2.3497 2.3497 2.3399
```

DOS at the Fermi energy	4.3	states/eV/cell
ρ	11.37	Mg/m³
SG	P4/mmm (123)

---

<R>
First-principles (GGA-PBE) data for a relaxed Dy2HfTl crystal, as listed in Alexandria.

```
4
Lattice="1.6517 0.9536 11.7925 -1.6517 0.9536 11.7925 0.0000 -1.9072 11.7925" Properties=species:S:1:pos:R:3 pbc="T T T"
Dy 0.0000 0.0000 3.1737
Dy 0.0000 0.0000 32.2040
Hf 0.0000 0.0000 0.0000
Tl 0.0000 0.0000 17.6888
```

DOS at the Fermi energy	6.1	states/eV/cell
ρ	10.55	Mg/m³
SG	R-3m (166)

---

<P> is the most stable structure; the next one sits 65 meV per atom above it.

---

<P>
First-principles (GGA-PBE) data for a relaxed DyY2Hf crystal, as listed in Alexandria.

```
4
Lattice="1.7267 0.9969 11.1975 -1.7267 0.9969 11.1975 0.0000 -1.9938 11.1975" Properties=species:S:1:pos:R:3 pbc="T T T"
Dy 0.0000 0.0000 0.0000
Y 0.0000 0.0000 8.2338
Y 0.0000 0.0000 14.1712
Hf 0.0000 0.0000 28.0070
```

DOS at the Fermi energy	6.2	states/eV/cell
ρ	7.45	Mg/m³
SG	R3m (160)

---

<Q>
First-principles (GGA-PBE) data for a relaxed DyY2Hf crystal, as listed in Alexandria.

```
4
Lattice="4.8572 0.0000 0.0000 0.0000 4.8572 0.0000 0.0000 0.0000 4.8658" Properties=species:S:1:pos:R:3 pbc="T T T"
Dy 0.0000 0.0000 0.0000
Y 0.0000 2.4286 2.4329
Y 2.4286 0.0000 2.4329
Hf 2.4286 2.4286 0.0000
```

DOS at the Fermi energy	5.2	states/eV/cell
ρ	7.50	Mg/m³
SG	P4/mmm (123)

---

<P> is the most stable structure; the next one sits 34 meV per atom above it.

---

<P>
First-principles (GGA-PBE) data for a relaxed DyY2Hf crystal, as listed in Alexandria.

```
4
Lattice="3.9950 0.0000 0.0000 0.0000 3.9950 0.0000 0.0000 0.0000 7.3199" Properties=species:S:1:pos:R:3 pbc="T T T"
Dy 0.0000 0.0000 0.0000
Y 1.9975 1.9975 2.0253
Y 1.9975 1.9975 5.2946
Hf 0.0000 0.0000 3.6600
```

DOS at the Fermi energy	8.0	states/eV/cell
ρ	7.37	Mg/m³
SG	P4/mmm (123)

---

<Q>
First-principles (GGA-PBE) data for a relaxed DyY2Hf crystal, as listed in Alexandria.

```
4
Lattice="1.7166 0.9911 11.3189 -1.7166 0.9911 11.3189 0.0000 -1.9822 11.3189" Properties=species:S:1:pos:R:3 pbc="T T T"
Dy 0.0000 0.0000 0.0000
Y 0.0000 0.0000 8.3057
Y 0.0000 0.0000 25.6511
Hf 0.0000 0.0000 16.9784
```

DOS at the Fermi energy	5.4	states/eV/cell
ρ	7.46	Mg/m³
SG	R-3m (166)

---

<Q> is the most stable structure; the next one sits 105 meV per atom above it.

---

<P>
First-principles (GGA-PBE) data for a relaxed Dy2YHf crystal, as listed in Alexandria.

```
4
Lattice="4.8533 0.0000 0.0000 0.0000 4.8533 0.0000 0.0000 0.0000 4.8409" Properties=species:S:1:pos:R:3 pbc="T T T"
Dy 0.0000 2.4266 0.0000
Dy 2.4266 0.0000 0.0000
Y 0.0000 0.0000 2.4204
Hf 2.4266 2.4266 2.4204
```

DOS at the Fermi energy	4.9	states/eV/cell
ρ	8.63	Mg/m³
SG	P4/mmm (123)

---

<Q>
First-principles (GGA-PBE) data for a relaxed Dy2YHf crystal, as listed in Alexandria.

```
4
Lattice="1.7219 0.9942 11.1971 -1.7219 0.9942 11.1971 0.0000 -1.9883 11.1971" Properties=species:S:1:pos:R:3 pbc="T T T"
Dy 0.0000 0.0000 0.0000
Dy 0.0000 0.0000 5.9672
Y 0.0000 0.0000 14.1820
Hf 0.0000 0.0000 19.7750
```

DOS at the Fermi energy	6.2	states/eV/cell
ρ	8.55	Mg/m³
SG	R3m (160)

---

<Q> is the most stable structure; the next one sits 33 meV per atom above it.

---

<P>
First-principles (GGA-PBE) data for a relaxed Dy2YHf crystal, as listed in Alexandria.

```
4
Lattice="3.9784 0.0000 0.0000 0.0000 3.9784 0.0000 0.0000 0.0000 7.3146" Properties=species:S:1:pos:R:3 pbc="T T T"
Dy 0.0000 0.0000 1.6161
Dy 0.0000 0.0000 5.6985
Y 1.9892 1.9892 3.6573
Hf 1.9892 1.9892 0.0000
```

DOS at the Fermi energy	7.3	states/eV/cell
ρ	8.50	Mg/m³
SG	P4/mmm (123)

---

<Q>
First-principles (GGA-PBE) data for a relaxed Dy2YHf crystal, as listed in Alexandria.

```
4
Lattice="1.6718 0.9652 11.9770 -1.6718 0.9652 11.9770 0.0000 -1.9305 11.9770" Properties=species:S:1:pos:R:3 pbc="T T T"
Dy 0.0000 0.0000 3.0932
Dy 0.0000 0.0000 32.8377
Y 0.0000 0.0000 17.9654
Hf 0.0000 0.0000 0.0000
```

DOS at the Fermi energy	6.5	states/eV/cell
ρ	8.48	Mg/m³
SG	R-3m (166)

---

<P> is the most stable structure; the next one sits 155 meV per atom above it.